1.
Below is a PBEsol-optimized structure of SrCdH3, with properties calculated at the meta-GGA SCAN level.

ΔE to the lowest computed polymorph = 285.4 meV per atom
total magnetic moment = 0.000 μB per atom

a b c (Å): 4.4196 4.4196 4.4196
angles (deg): 90.00 90.00 90.00
Last column: nearest neighbours and their distance in Å.
Space group Pm-3m (No. 221)
One atom of each set of equivalent atoms:
1 Sr 0.0000 0.0000 0.0000  6 H 2.21
2 Cd 0.5000 0.5000 0.5000  12 H 3.13
3 H 0.0000 0.0000 0.5000  2 Sr 2.21


2.
Below is a PBEsol-optimized structure of MgZnRh2, with properties calculated at the meta-GGA SCAN level.

total magnetic moment = 0.000 μB per atom
calculated formation energy = -0.3143 eV per atom

a b c (Å): 3.7616 3.7616 7.9841
angles (deg): 90.00 90.00 90.00
Last column: nearest neighbours and their distance in Å.
Space group I-4m2 (No. 119)
One atom of each set of equivalent atoms:
1 Mg 0.0000 0.0000 0.0000  8 Rh 2.66-2.74, 4 Zn 2.74
2 Zn 0.0000 0.5000 0.7500  8 Rh 2.66-2.74, 4 Mg 2.74
3 Rh 0.0000 0.0000 0.5000  4 Mg 2.66, 4 Rh 2.74, 4 Zn 2.74
4 Rh 0.0000 0.5000 0.2500  4 Zn 2.66, 4 Mg 2.74, 4 Rh 2.74


3.
Below is a PBEsol-optimized structure of In2PbOF, with properties calculated at the meta-GGA SCAN level.

E = -154.94 eV/f.u.
total magnetic moment = 0.000 μB per atom

a b c (Å): 4.3748 4.3748 5.4350
angles (deg): 90.00 90.00 90.00
Last column: nearest neighbours and their distance in Å.
Space group P4/mmm (No. 123)
One atom of each set of equivalent atoms:
1 In 0.0000 0.5000 0.0000  2 O 2.19
2 Pb 0.0000 0.0000 0.5000  4 F 3.09
3 O 0.5000 0.5000 0.0000  4 In 2.19
4 F 0.5000 0.5000 0.5000  2 O 2.72


4.
Below is a PBEsol-optimized structure of Al2ZnCoCl, with properties calculated at the meta-GGA SCAN level.

E = -49.95 eV/f.u.
total magnetic moment = 0.219 μB per atom

a b c (Å): 4.8680 4.8680 3.9774
angles (deg): 90.00 90.00 90.00
Last column: nearest neighbours and their distance in Å.
Space group P4/mmm (No. 123)
One atom of each set of equivalent atoms:
1 Al 0.0000 0.5000 0.0000  2 Cl 2.43
2 Zn 0.0000 0.0000 0.5000  8 Al 3.14, 4 Co 3.44
3 Co 0.5000 0.5000 0.5000  2 Cl 1.99
4 Cl 0.5000 0.5000 0.0000  2 Co 1.99


5.
Below is a PBEsol-optimized structure of MgH2Rh, with properties calculated at the meta-GGA SCAN level.

E = -46.93 eV/f.u.
total magnetic moment = 0.000 μB per atom

a b c (Å): 4.0729 4.0729 9.3039
angles (deg): 90.00 90.00 90.00
Last column: nearest neighbours and their distance in Å.
Space group I-42d (No. 122)
One atom of each set of equivalent atoms:
1 Mg 0.0000 0.0000 0.0000  4 H 2.03
2 H 0.1775 0.2500 0.6250  2 Rh 1.71
3 Rh 0.0000 0.0000 0.5000  4 H 1.71


6.
Below is a PBEsol-optimized structure of LaHgOF2, with properties calculated at the meta-GGA SCAN level.

ΔE to the lowest computed polymorph = 0.0 meV per atom
total magnetic moment = 0.202 μB per atom

a b c (Å): 4.6287 4.6287 4.6543
angles (deg): 90.00 90.00 90.00
Last column: nearest neighbours and their distance in Å.
Space group P4/mmm (No. 123)
One atom of each set of equivalent atoms:
1 La 0.0000 0.0000 0.0000  4 F 2.31, 2 O 2.33
2 Hg 0.5000 0.5000 0.5000  4 O 3.27, 8 F 3.28
3 O 0.0000 0.0000 0.5000  2 La 2.33
4 F 0.0000 0.5000 0.0000  2 La 2.31


7.
Below is a PBEsol-optimized structure of LiPtCl2, with properties calculated at the meta-GGA SCAN level.

ΔE to the lowest computed polymorph = 32.5 meV per atom
total magnetic moment = 0.000 μB per atom

a b c (Å): 3.3458 3.4242 13.7248
angles (deg): 90.00 90.00 90.00
Last column: nearest neighbours and their distance in Å.
Space group Imm2 (No. 44)
One atom of each set of equivalent atoms:
1 Li 0.0000 0.0000 0.0000  4 Cl 2.40
2 Pt 0.0000 0.5000 0.7159  4 Cl 2.42
3 Cl 0.0000 0.0000 0.4929  4 Li 2.40
4 Cl 0.0000 0.5000 0.2427  4 Pt 2.42


8.
Below is a PBEsol-optimized structure of YTaCo2Cu, with properties calculated at the meta-GGA SCAN level.

total magnetic moment = 0.640 μB per atom
calculated formation energy = 2.2753 eV per atom

a b c (Å): 4.3828 4.3828 5.0217
angles (deg): 90.00 90.00 90.00
Last column: nearest neighbours and their distance in Å.
Space group P4/mmm (No. 123)
One atom of each set of equivalent atoms:
1 Y 0.0000 0.0000 0.0000  4 Co 2.19
2 Ta 0.0000 0.0000 0.5000  2 Y 2.51
3 Co 0.0000 0.5000 0.0000  2 Y 2.19
4 Cu 0.5000 0.5000 0.5000  4 Ta 3.10, 8 Co 3.33


9.
Below is a PBEsol-optimized structure of SiAuO2, with properties calculated at the meta-GGA SCAN level.

E = -99.43 eV/f.u.
total magnetic moment = 0.000 μB per atom

a b c (Å): 2.6875 2.6875 27.0102
angles (deg): 90.00 90.00 120.00
Last column: nearest neighbours and their distance in Å.
Space group R-3m (No. 166, hexagonal axes)
One atom of each set of equivalent atoms:
1 Si 0.0000 0.0000 0.0000  6 O 1.80
2 Au 0.0000 0.0000 0.5000  6 Au 2.69
3 O 0.0000 0.0000 0.3670  3 Si 1.80


10.
Below is a PBEsol-optimized structure of LiCo2Cu, with properties calculated at the meta-GGA SCAN level.

total magnetic moment = 0.807 μB per atom
calculated formation energy = 0.1465 eV per atom

a b c (Å): 8.1134 2.4091 4.4630
angles (deg): 90.00 97.34 90.00
Last column: nearest neighbours and their distance in Å.
Space group Cm (No. 8)
One atom of each set of equivalent atoms:
1 Li 0.0000 0.0000 0.0000  3 Cu 2.32-2.47, 2 Li 2.41, 5 Co 2.49-2.58
2 Co 0.2410 0.0000 0.7025  5 Co 2.35-2.41, 4 Cu 2.50-2.58, 1 Li 2.50
3 Co 0.4974 0.0000 0.5117  5 Co 2.35-2.41, 4 Li 2.49-2.58, 3 Cu 2.53-2.60
4 Cu 0.2541 0.5000 0.2160  3 Li 2.32-2.47, 2 Cu 2.41, 6 Co 2.50-2.58


11.
Below is a PBEsol-optimized structure of Si3Pb, with properties calculated at the meta-GGA SCAN level.

ΔE to the lowest computed polymorph = 0.0 meV per atom
total magnetic moment = 0.000 μB per atom

a b c (Å): 6.6996 6.6996 6.6996
angles (deg): 90.00 90.00 90.00
Last column: nearest neighbours and their distance in Å.
Space group Fm-3m (No. 225)
One atom of each set of equivalent atoms:
1 Si 0.0000 0.0000 0.0000  8 Si 2.90
2 Si 0.2500 0.2500 0.2500  4 Pb 2.90, 4 Si 2.90
3 Pb 0.0000 0.0000 0.5000  8 Si 2.90


12.
Below is a PBEsol-optimized structure of BeGeS2, with properties calculated at the meta-GGA SCAN level.

E = -43.92 eV/f.u.
total magnetic moment = 0.000 μB per atom

a b c (Å): 3.9731 3.9731 19.4559
angles (deg): 90.00 90.00 120.00
Last column: nearest neighbours and their distance in Å.
Space group R-3m (No. 166, hexagonal axes)
One atom of each set of equivalent atoms:
1 Be 0.0000 0.0000 0.0000  2 S 1.88
2 Ge 0.0000 0.0000 0.5000  6 S 2.67
3 S 0.0000 0.0000 0.0968  1 Be 1.88


13.
Below is a PBEsol-optimized structure of SbPbI2O, with properties calculated at the meta-GGA SCAN level.

E = -194.07 eV/f.u.
total magnetic moment = 0.000 μB per atom

a b c (Å): 6.1083 6.1083 4.0583
angles (deg): 90.00 90.00 90.00
Last column: nearest neighbours and their distance in Å.
Space group P4/mmm (No. 123)
One atom of each set of equivalent atoms:
1 Sb 0.0000 0.0000 0.0000  2 O 2.03
2 Pb 0.5000 0.5000 0.5000  8 I 3.67, 2 Pb 4.06
3 I 0.0000 0.5000 0.0000  2 Sb 3.05
4 O 0.0000 0.0000 0.5000  2 Sb 2.03


14.
Below is a PBEsol-optimized structure of AlCo3, with properties calculated at the meta-GGA SCAN level.

total magnetic moment = 1.176 μB per atom
calculated formation energy = -0.3069 eV per atom

a b c (Å): 3.9497 3.9497 2.7971
angles (deg): 90.00 90.00 90.00
Last column: nearest neighbours and their distance in Å.
Space group P4/mmm (No. 123)
One atom of each set of equivalent atoms:
1 Al 0.0000 0.0000 0.0000  8 Co 2.42
2 Co 0.0000 0.5000 0.5000  4 Co 2.42, 4 Al 2.42
3 Co 0.5000 0.5000 0.0000  8 Co 2.42


15.
Below is a PBEsol-optimized structure of ReBr4, with properties calculated at the meta-GGA SCAN level.

E = -148.24 eV/f.u.
total magnetic moment = 0.001 μB per atom

a b c (Å): 8.9145 8.9145 3.1105
angles (deg): 90.00 90.00 90.00
Last column: nearest neighbours and their distance in Å.
Space group I4/m (No. 87)
One atom of each set of equivalent atoms:
1 Re 0.0000 0.0000 0.0000  8 Br 2.64
2 Br 0.0530 0.7667 0.5000  2 Re 2.64


16.
Below is a PBEsol-optimized structure of TcAgAsSe2, with properties calculated at the meta-GGA SCAN level.

E = -124.03 eV/f.u.
total magnetic moment = 0.000 μB per atom

a b c (Å): 4.8427 4.8427 4.7072
angles (deg): 90.00 90.00 90.00
Last column: nearest neighbours and their distance in Å.
Space group P4/mmm (No. 123)
One atom of each set of equivalent atoms:
1 Tc 0.0000 0.0000 0.0000  2 As 2.35, 4 Se 2.42
2 Ag 0.5000 0.5000 0.5000  8 Se 3.38, 4 As 3.42
3 As 0.0000 0.0000 0.5000  2 Tc 2.35
4 Se 0.0000 0.5000 0.0000  2 Tc 2.42


17.
Below is a PBEsol-optimized structure of CuSbI2N, with properties calculated at the meta-GGA SCAN level.

ΔE to the lowest computed polymorph = 0.0 meV per atom
total magnetic moment = 0.404 μB per atom

a b c (Å): 5.5773 5.5773 3.6439
angles (deg): 90.00 90.00 90.00
Last column: nearest neighbours and their distance in Å.
Space group P4/mmm (No. 123)
One atom of each set of equivalent atoms:
1 Cu 0.0000 0.0000 0.0000  2 N 1.82
2 Sb 0.5000 0.5000 0.5000  8 I 3.33, 2 Sb 3.64
3 I 0.0000 0.5000 0.0000  2 Cu 2.79
4 N 0.0000 0.0000 0.5000  2 Cu 1.82


18.
Below is a PBEsol-optimized structure of ZrBe3Cu, with properties calculated at the meta-GGA SCAN level.

total magnetic moment = 0.000 μB per atom
calculated formation energy = 0.0725 eV per atom

a b c (Å): 3.9700 3.9700 3.9700
angles (deg): 90.00 90.00 90.00
Last column: nearest neighbours and their distance in Å.
Space group Pm-3m (No. 221)
One atom of each set of equivalent atoms:
1 Zr 0.0000 0.0000 0.0000  12 Be 2.81
2 Be 0.0000 0.5000 0.5000  2 Cu 1.99
3 Cu 0.5000 0.5000 0.5000  6 Be 1.99


19.
Below is a PBEsol-optimized structure of BaMn2PBr, with properties calculated at the meta-GGA SCAN level.

E = -104.54 eV/f.u.
total magnetic moment = 1.633 μB per atom

a b c (Å): 4.6650 4.6650 6.0669
angles (deg): 90.00 90.00 90.00
Last column: nearest neighbours and their distance in Å.
Space group P4/mmm (No. 123)
One atom of each set of equivalent atoms:
1 Ba 0.0000 0.0000 0.0000  2 Br 3.03, 4 P 3.30
2 Mn 0.0000 0.5000 0.5000  2 Br 2.33
3 P 0.5000 0.5000 0.0000  4 Ba 3.30
4 Br 0.0000 0.0000 0.5000  4 Mn 2.33


20.
Below is a PBEsol-optimized structure of ZrB3S, with properties calculated at the meta-GGA SCAN level.

ΔE to the lowest computed polymorph = 1059.5 meV per atom
total magnetic moment = 0.000 μB per atom

a b c (Å): 4.4962 4.4962 4.4962
angles (deg): 90.00 90.00 90.00
Last column: nearest neighbours and their distance in Å.
Space group Pm-3m (No. 221)
One atom of each set of equivalent atoms:
1 Zr 0.0000 0.0000 0.0000  6 B 2.25
2 B 0.0000 0.0000 0.5000  2 Zr 2.25
3 S 0.5000 0.5000 0.5000  12 B 3.18